No. 1
GaBW2: relaxed, PBE.

The energy is -127.52 eV for the cell shown. The formation enthalpy at 0 K comes out at 0.93 eV per atom. Its total moment is 0.00 μB/atom. For the excess energy over the best structure of this formula in the dataset, the calculation gives 275 kJ/mol of formula units.

The space group is I-42d (No. 122) and the conventional cell measures 3.705, 3.705 and 17.626 Å, with angles of 90.00, 90.00 and 90.00 degrees. The asymmetric unit holds Ga at (0.000, 0.000, 0.000), B at (0.000, 0.000, 0.500) and W at (0.236, 0.250, 0.625).

***

No. 2
GaB3W: relaxed, PBE.

The energy is -24.98 eV for the cell shown. The formation enthalpy at 0 K comes out at 2.21 eV per atom. Its total moment is 0.00 μB/atom. For the excess energy over the best structure of this formula in the dataset, the calculation gives 450 kJ/mol of formula units.

The space group is Pm-3m (No. 221) and the conventional cell measures 3.924, 3.924 and 3.924 Å, with angles of 90.00, 90.00 and 90.00 degrees. The asymmetric unit holds Ga at (0.000, 0.000, 0.000), B at (0.000, 0.000, 0.500) and W at (0.500, 0.500, 0.500).